Computed, not measured: a relaxed Sm2SnH3 crystal at the PBE level of DFT.

Computed properties:
Uncorrected energy ... -109.10 eV/cell

Cell lengths 14.7499, 3.8386, 7.7387 Å; angles 90.00, 113.03, 90.00 degrees
Closest atoms and distances in Å follow each position.
Space group C2/m (No. 12)
Symmetry-distinct sites (fractional):
Sm1 0.0324 0.0000 0.2859 [4 per cell]  5 H 2.17-2.41
Sm2 0.2030 0.5000 0.6833 [4 per cell]  4 H 2.17-2.40
Sn1 0.1221 0.5000 0.0304 [4 per cell]  7 Sm 3.24-3.38, 4 H 3.44-3.58, 1 Sn 3.45
H1 0.0708 0.5000 0.4269 [4 per cell]  3 Sm 2.17, 2 H 2.39
H2 0.0979 0.0000 0.6246 [4 per cell]  1 H 2.12, 1 Sm 2.28
H3 0.1958 0.0000 0.4834 [4 per cell]  1 H 2.12, 2 Sm 2.29-2.32